Computed, not measured: a relaxed structure of LiCuB at the GGA-PBE level of DFT.

```
LiCuB
1.0
1.864 -3.078 -0.170
-1.429 -2.884 -1.618
1.320 -1.134 -3.154
B Cu Li
1 1 1
Cartesian
0.000 0.000 0.000
0.439 -1.774 -1.235
1.316 -5.322 -3.706
```

Computed, not measured: a relaxed structure of Li2ZnSn at the GGA-PBE level of DFT.

```
Li2ZnSn
1.0
-3.224 3.224 0.000
3.224 0.000 -3.224
-3.224 -3.224 0.000
Li Sn Zn
2 1 1
Cartesian
-3.224 0.000 0.000
-1.612 -1.612 -1.612
0.000 0.000 0.000
-1.612 1.612 -1.612
```

NpGePb, relaxed, DFT GGA-PBE; size of the total moment = 4.66 μB/cell
1.0
2.085 -3.895 -2.364
2.807 -3.270 2.555
-1.696 -4.639 0.838
Ge Np Pb
1 1 1
Cartesian
0.799 -2.951 0.257
2.397 -8.853 0.772
0.000 0.000 0.000

BaNaSmSe3, relaxed, DFT GGA-PBE; size of the total moment = 0.01 μB/cell
1.0
11.058 0.000 0.000
0.000 4.448 0.000
0.000 0.000 14.382
Ba Na Se Sm
4 4 12 4
Cartesian
8.189 3.336 0.030
2.660 3.336 7.161
8.397 1.112 7.221
2.868 1.112 14.352
2.859 3.336 3.245
8.388 3.336 3.946
2.670 1.112 10.436
8.198 1.112 11.137
0.661 3.336 1.641
5.073 3.336 1.679
8.371 1.112 2.423
2.842 1.112 4.768
10.602 3.336 5.512
6.190 3.336 5.551
4.868 1.112 8.832
0.456 1.112 8.870
8.216 3.336 9.614
2.687 3.336 11.959
5.984 1.112 12.704
10.396 1.112 12.742
0.095 1.112 3.551
5.623 1.112 3.640
5.434 3.336 10.742
10.963 3.336 10.831

CsErC, relaxed, DFT GGA-PBE; size of the total moment = 0.00 μB/cell
1.0
-3.374 3.580 -1.334
0.053 -1.801 4.767
2.349 2.565 0.943
C Cs Er
1 1 1
Cartesian
-1.089 -0.008 2.734
0.000 0.000 0.000
-2.231 1.786 0.700

Cu2Ag3, relaxed, DFT GGA-PBE; ΔH_f (0 K) = 81 meV/atom; offset from the most stable computed form = 49 meV per atom
1.0
7.415 -1.425 0.000
7.415 1.425 0.000
-1.931 0.000 7.376
Ag Cu
6 4
Cartesian
7.415 0.000 0.000
1.009 0.000 2.182
3.728 0.000 2.763
6.450 0.000 3.688
9.171 0.000 4.613
11.891 0.000 5.194
10.243 0.000 0.565
12.943 0.000 1.348
-0.043 0.000 6.028
2.656 0.000 6.811

SiHgGe, relaxed, DFT GGA-PBE; offset from the most stable computed form = 0 meV per atom
1.0
0.111 -4.282 -1.489
2.012 -3.214 2.487
-2.501 -3.179 2.050
Ge Hg Si
1 1 1
Cartesian
-0.095 -2.669 0.762
-0.284 -8.006 2.286
0.000 0.000 0.000

Pm2C2Se, relaxed, DFT GGA-PBE; size of the total moment = 0.02 μB/cell
1.0
-4.184 -5.765 1.584
-1.567 -5.298 4.768
-3.896 5.362 2.415
C Pm Se
4 4 2
Cartesian
-1.777 -2.399 1.106
-6.606 -6.105 5.620
-3.040 0.404 3.146
-7.870 -3.302 7.660
-4.738 -6.436 3.813
-3.955 -2.124 2.536
-5.692 -3.577 6.230
-4.909 0.735 4.954
-3.080 -4.054 4.716
-6.567 -1.648 4.051

Hf2HgPb2, relaxed, DFT GGA-PBE; size of the total moment = 0.01 μB/cell; offset from the most stable computed form = 39 meV per atom
1.0
3.363 -3.363 0.000
3.363 3.363 0.000
-3.363 0.000 6.302
Hf Hg Pb
2 1 2
Cartesian
1.681 -1.681 3.151
1.681 1.681 3.151
0.000 0.000 0.000
3.363 0.000 1.431
0.000 0.000 4.871

KLuW, relaxed, DFT GGA-PBE; size of the total moment = 3.65 μB/cell; offset from the most stable computed form = 0 meV per atom
1.0
0.705 -5.142 0.492
0.787 -2.084 4.714
-3.701 -2.940 2.201
K Lu W
1 1 1
Cartesian
-0.552 -2.542 1.852
-1.656 -7.625 5.555
0.000 0.000 0.000

SmNpPa, relaxed, DFT GGA-PBE; size of the total moment = 4.91 μB/cell; ΔH_f (0 K) = 1405 meV/atom
1.0
0.000 3.479 3.479
3.479 0.000 3.479
3.479 3.479 0.000
Np Pa Sm
1 1 1
Cartesian
1.740 1.740 1.740
5.219 5.219 5.219
0.000 0.000 0.000

YLuPd, relaxed, DFT GGA-PBE; size of the total moment = 0.03 μB/cell; ΔH_f (0 K) = -639 meV/atom; offset from the most stable computed form = 28 meV per atom
1.0
-2.024 4.975 4.433
0.314 -3.140 3.667
8.362 2.292 1.246
Lu Pd Y
4 4 4
Cartesian
1.473 -0.324 1.192
1.796 2.529 3.607
4.856 1.597 5.739
5.179 4.451 8.155
-0.531 1.689 6.279
3.081 -0.086 4.450
3.571 4.212 4.897
7.183 2.438 3.068
0.205 -0.411 4.418
2.006 2.847 7.054
4.646 1.279 2.293
6.447 4.537 4.929

no.,total DFT energy (no corrections) (Ry/atom)
1,-0.267
2,-0.191
3,-0.471
4,-0.349
5,-0.212
6,-0.228
7,-0.225
8,-0.527
9,-0.367
10,-0.311
11,-0.558
12,-0.443